VASP calculation (PBE-GGA) on a relaxed TaAgOsO6 crystal.

Cell and atoms, written as POSCAR:
```
TaAgOsO6
1.0
5.273 0.000 0.000
-2.636 4.566 0.000
0.000 0.000 9.948
O Ta Ag Os
12 2 2 2
Cartesian
3.301 0.033 3.568
1.622 2.875 6.380
-1.622 2.875 8.542
1.972 0.033 1.406
0.958 1.724 8.542
-0.958 1.724 6.380
4.258 1.691 1.406
1.014 1.691 3.568
-0.665 4.534 6.380
1.679 2.842 1.406
3.594 2.842 3.568
0.665 4.534 8.542
0.000 3.044 2.487
2.636 1.522 7.461
0.000 0.000 4.974
0.000 0.000 0.000
2.636 1.522 2.487
0.000 3.044 7.461
```

Summary:
- formation energy (no corrections) (eV/atom) = -1.44

---

VASP calculation (PBE-GGA) on a relaxed Ac2AlZn2 crystal.

Cell and atoms, written as POSCAR:
```
Ac2AlZn2
1.0
0.193 4.052 2.544
-5.158 1.045 3.233
4.045 -3.029 9.021
Zn Ac Al
4 4 2
Cartesian
-0.078 1.322 2.406
-1.813 3.113 8.697
0.894 -1.045 6.101
-0.841 0.746 12.392
-3.214 0.780 3.508
-0.855 0.011 9.059
2.295 1.289 11.290
-0.064 2.057 5.740
2.225 0.665 7.783
-3.144 1.403 7.015
```

Summary:
- energy of formation from the pure elements (eV per formula unit) = -1.473

---

VASP calculation (PBE-GGA) on a relaxed NdInNi10 crystal.

Cell and atoms, written as POSCAR:
```
NdInNi10
1.0
4.023 0.000 0.000
0.000 4.829 0.000
0.000 0.000 8.418
Ni In Nd
10 1 1
Cartesian
2.011 3.615 6.280
2.011 1.214 2.138
0.000 2.415 1.541
2.011 2.415 0.000
0.000 0.000 2.890
0.000 0.000 5.527
2.011 0.000 4.209
2.011 1.214 6.280
2.011 3.615 2.138
0.000 2.415 6.876
0.000 2.415 4.209
0.000 0.000 0.000
```

Summary:
- energy of formation from the pure elements (eV per formula unit) = -1.328

---

VASP calculation (PBE-GGA) on a relaxed Ce2CoC2 crystal.

Cell and atoms, written as POSCAR:
```
Ce2CoC2
1.0
-4.347 -2.266 -1.799
0.531 -4.420 4.283
-5.268 5.269 6.090
C Ce Co
8 8 4
Cartesian
-6.989 0.199 5.267
-3.106 -5.040 2.485
-5.978 3.624 6.089
-6.668 -2.066 7.345
-3.640 -0.659 5.835
-2.416 0.649 1.229
-5.444 -0.758 2.739
-2.095 -1.615 3.307
-4.160 -2.709 2.095
-0.908 -3.854 3.260
-4.923 1.292 6.479
-8.175 2.438 5.314
-4.207 -4.606 4.598
-4.876 3.189 3.976
-3.315 0.497 3.594
-5.769 -1.914 4.980
-7.401 -0.404 7.022
-1.682 -1.013 1.552
-6.509 0.648 3.542
-2.574 -2.065 5.032
```

Summary:
- energy of formation from the pure elements (eV per formula unit) = -0.833

---

VASP calculation (PBE-GGA) on a relaxed TbNd2Ho5Mg crystal.

Cell and atoms, written as POSCAR:
```
TbNd2Ho5Mg
1.0
5.447 0.000 0.000
-2.723 10.044 0.000
0.000 0.000 10.474
Tb Ho Nd Mg
2 10 4 2
Cartesian
0.000 4.103 0.090
2.723 5.942 5.328
2.723 4.256 8.488
0.000 0.259 0.091
2.723 2.364 5.328
2.723 4.229 2.163
0.000 10.030 7.934
0.000 5.816 7.400
2.723 0.014 2.697
0.000 5.789 3.250
2.723 9.786 5.328
0.000 7.680 0.091
2.723 7.722 2.299
2.723 7.726 8.359
0.000 2.318 3.122
0.000 2.323 7.537
0.000 8.142 5.301
2.723 1.903 0.064
```

Summary:
- energy of formation from the pure elements (eV per formula unit) = 0.876

---

VASP calculation (PBE-GGA) on a relaxed Sr4TlCu crystal.

Cell and atoms, written as POSCAR:
```
Sr4TlCu
1.0
0.000 5.104 5.104
5.104 0.000 5.104
5.104 5.104 0.000
Sr Tl Cu
4 1 1
Cartesian
3.830 3.830 3.830
3.830 6.378 6.378
6.378 3.830 6.378
6.378 6.378 3.830
7.656 7.656 7.656
0.000 0.000 0.000
```

Summary:
- energy of formation from the pure elements (eV per formula unit) = 3.398